First-principles (GGA-PBEsol) data for a relaxed structure of Na2SrCa2, as listed in Alexandria via LeMat-Bulk.

The value obtained for the formation enthalpy at 0 K is 0.37 eV per formula unit. The total energy is -1.708 eV per atom. The size of the total moment comes out at 0.00 μB per formula unit.

It has space group P4/mbm (No. 127), with a = 9.922 Å, b = 9.922 Å, c = 4.148 Å, α = 90.00°, β = 90.00° and γ = 90.00°. The asymmetric unit holds Na at (0.124, 0.376, 0.000), Sr at (0.000, 0.000, 0.000) and Ca at (0.172, 0.672, 0.500).